Record 1
The following is a DFT calculation (meta-GGA SCAN) of a PBEsol-optimized structure of KLiMo2.

Properties
Calculated formation energy: 1105 meV per atom
SG: Pmmm, No. 47
Raw total energy: -19.018 eV per atom
M_tot: 0.88 Bohr magnetons per cell

abc: 2.9593 4.3662 5.7630
angles: 90.00 90.00 90.00
Last column: nearest neighbours and their distance in Å.
Positions (direct):
Mo 0.0000 0.0000 0.0000  4 Mo 2.64
Mo 0.5000 0.5000 0.0000  4 Mo 2.64
Li 0.0000 0.5000 0.5000  4 K 2.64
K 0.5000 0.0000 0.5000  4 Li 2.64

***

Record 2
The following is a DFT calculation (meta-GGA SCAN) of a PBEsol-optimized structure of KLi2Mo.

Properties
Calculated formation energy: 800 meV per atom
SG: P2/m, No. 10
Raw total energy: -11.198 eV per atom
M_tot: 0.95 Bohr magnetons per cell

abc: 2.6163 4.4665 7.4001
angles: 90.00 92.90 90.00
Last column: nearest neighbours and their distance in Å.
Positions (direct):
K 0.5000 0.5000 0.5000  2 K 2.62
Mo 0.5000 0.5000 0.0000  2 Mo 2.62, 8 Li 2.87
Li 0.0229 0.0000 0.1676  3 Li 2.48-2.62
Li 0.9771 0.0000 0.8324  3 Li 2.48-2.62

***

Record 3
The following is a DFT calculation (meta-GGA SCAN) of a PBEsol-optimized structure of KLiMo3.

Properties
Calculated formation energy: 3175 meV per atom
SG: Pm-3m, No. 221
Raw total energy: -19.900 eV per atom
M_tot: 0.00 Bohr magnetons per cell

abc: 4.4426 4.4426 4.4426
angles: 90.00 90.00 90.00
Last column: nearest neighbours and their distance in Å.
Positions (direct):
Mo 0.5000 0.0000 0.0000  2 K 2.22
Mo 0.0000 0.0000 0.5000  2 K 2.22
Mo 0.0000 0.5000 0.0000  2 K 2.22
K 0.0000 0.0000 0.0000  6 Mo 2.22
Li 0.5000 0.5000 0.5000  12 Mo 3.14

***

Record 4
The following is a DFT calculation (meta-GGA SCAN) of a PBEsol-optimized structure of KLi3Mo.

Properties
Calculated formation energy: 1344 meV per atom
SG: Pm-3m, No. 221
Raw total energy: -8.733 eV per atom
M_tot: 4.36 Bohr magnetons per cell

abc: 4.8582 4.8582 4.8582
angles: 90.00 90.00 90.00
Last column: nearest neighbours and their distance in Å.
Positions (direct):
Li 0.5000 0.0000 0.0000  2 K 2.43
Li 0.0000 0.0000 0.5000  2 K 2.43
Li 0.0000 0.5000 0.0000  2 K 2.43
K 0.0000 0.0000 0.0000  6 Li 2.43
Mo 0.5000 0.5000 0.5000  12 Li 3.44

***

Record 5
The following is a DFT calculation (meta-GGA SCAN) of a PBEsol-optimized structure of KLi2Mo.

Properties
Calculated formation energy: 1085 meV per atom
SG: I-42d, No. 122
Raw total energy: -10.913 eV per atom
M_tot: 9.14 Bohr magnetons per cell

abc: 6.5742 6.5742 6.5742
angles: 104.64 104.64 119.63
Last column: nearest neighbours and their distance in Å.
Positions (direct):
Mo 0.2500 0.7500 0.5000  4 Li 2.79
Mo 0.0000 0.0000 0.0000  4 Li 2.79
Li 0.1250 0.6564 0.0314  2 Mo 2.79
Li 0.6250 0.0936 0.9686  2 Mo 2.79
Li 0.9064 0.8750 0.5314  2 Mo 2.79
Li 0.3436 0.3750 0.4686  2 Mo 2.79
K 0.7500 0.2500 0.5000  4 Li 3.14, 2 Mo 3.31
K 0.5000 0.5000 0.0000  4 Li 3.14, 2 Mo 3.31

***

Record 6
The following is a DFT calculation (meta-GGA SCAN) of a PBEsol-optimized structure of KLiMo2.

Properties
Calculated formation energy: 1102 meV per atom
SG: P2/m, No. 10
Raw total energy: -19.020 eV per atom
M_tot: 0.00 Bohr magnetons per cell

abc: 2.6538 4.9745 5.7643
angles: 90.00 90.00 101.02
Last column: nearest neighbours and their distance in Å.
Positions (direct):
Mo 0.7368 0.7491 0.0000  4 Mo 2.56-2.65
Mo 0.2632 0.2509 0.0000  4 Mo 2.56-2.65
K 0.0000 0.5000 0.5000  2 Li 2.59, 2 K 2.65
Li 0.5000 0.0000 0.5000  2 K 2.59, 2 Li 2.65

***

Record 7
The following is a DFT calculation (meta-GGA SCAN) of a PBEsol-optimized structure of KLiSm2Mo4O16.

Properties
Raw formation energy: -2.64 eV/atom
SG: C2/c, No. 15
Raw total energy: -16.762 eV per atom
M_tot: 0.00 Bohr magnetons per cell

abc: 5.2283 6.8462 19.3978
angles: 88.70 86.59 67.55
Last column: nearest neighbours and their distance in Å.
Positions (direct):
O 0.4357 0.4755 0.9314  1 Mo 1.84
O 0.6039 0.3075 0.3655  1 Mo 1.78
O 0.9783 0.8157 0.3289  1 Mo 1.73
O 0.2755 0.9622 0.0385  1 Mo 1.81
O 0.0115 0.6636 0.0432  1 Mo 1.83
O 0.0888 0.4755 0.5686  1 Mo 1.84
O 0.7940 0.1843 0.8289  1 Mo 1.73
O 0.9115 0.6925 0.8655  1 Mo 1.78
O 0.2060 0.8157 0.1711  1 Mo 1.73
O 0.7298 0.0931 0.1030  1 Mo 1.76
O 0.4381 0.5831 0.7850  1 Mo 1.74
O 0.6751 0.3364 0.5432  1 Mo 1.83
O 0.8229 0.9069 0.6030  1 Mo 1.76
O 0.9788 0.5831 0.7150  1 Mo 1.74
O 0.7245 0.0378 0.9615  1 Mo 1.81
O 0.9112 0.5245 0.4314  1 Mo 1.84
O 0.4995 0.2695 0.6721  1 Mo 1.74
O 0.0217 0.1843 0.6711  1 Mo 1.73
O 0.5005 0.7305 0.3279  1 Mo 1.74
O 0.5643 0.5245 0.0686  1 Mo 1.84
O 0.3961 0.6925 0.6345  1 Mo 1.78
O 0.5619 0.4169 0.2150  1 Mo 1.74
O 0.2310 0.2695 0.8279  1 Mo 1.74
O 0.7623 0.9622 0.4615  1 Mo 1.81
O 0.1771 0.0931 0.3970  1 Mo 1.76
O 0.2377 0.0378 0.5385  1 Mo 1.81
O 0.7690 0.7305 0.1721  1 Mo 1.74
O 0.9885 0.3364 0.9568  1 Mo 1.83
O 0.2702 0.9069 0.8970  1 Mo 1.76
O 0.0885 0.3075 0.1345  1 Mo 1.78
O 0.0212 0.4169 0.2850  1 Mo 1.74
O 0.3249 0.6636 0.4568  1 Mo 1.83
Mo 0.9211 0.1246 0.5933  4 O 1.73-1.83
Mo 0.2374 0.5060 0.6493  4 O 1.74-1.84
Mo 0.9543 0.1246 0.9067  4 O 1.73-1.83
Mo 0.0457 0.8754 0.0933  4 O 1.73-1.83
Mo 0.0789 0.8754 0.4067  4 O 1.73-1.83
Mo 0.2566 0.5060 0.8507  4 O 1.74-1.84
Mo 0.7434 0.4940 0.1493  4 O 1.74-1.84
Mo 0.7626 0.4940 0.3507  4 O 1.74-1.84
K 0.5344 0.9312 0.7500  4 O 2.68-2.69
K 0.4656 0.0688 0.2500  4 O 2.68-2.69
Li 0.8141 0.3717 0.7500  4 O 2.00-2.03
Li 0.1859 0.6283 0.2500  4 O 2.00-2.03
Sm 0.6459 0.7068 0.9668  8 O 2.32-2.49
Sm 0.3541 0.2932 0.0332  8 O 2.32-2.49
Sm 0.6473 0.7068 0.5332  8 O 2.32-2.49
Sm 0.3527 0.2932 0.4668  8 O 2.32-2.49

***

Record 8
The following is a DFT calculation (meta-GGA SCAN) of a PBEsol-optimized structure of KLiTm2Mo4O16.

Properties
Raw formation energy: -2.66 eV/atom
SG: C2/c, No. 15
Raw total energy: -17.390 eV per atom
M_tot: 0.00 Bohr magnetons per cell

abc: 5.1149 6.6798 19.3024
angles: 88.59 86.33 67.49
Last column: nearest neighbours and their distance in Å.
Positions (direct):
O 0.6637 0.3388 0.5411  1 Mo 1.84
O 0.7238 0.1023 0.1007  1 Mo 1.76
O 0.4040 0.6956 0.6299  1 Mo 1.78
O 0.5030 0.2684 0.6702  1 Mo 1.74
O 0.4497 0.4725 0.9340  1 Mo 1.85
O 0.9786 0.5883 0.7136  1 Mo 1.73
O 0.2831 0.9626 0.0364  1 Mo 1.82
O 0.7714 0.7316 0.1702  1 Mo 1.74
O 0.2286 0.2684 0.8298  1 Mo 1.74
O 0.2066 0.8204 0.1702  1 Mo 1.74
O 0.1739 0.1023 0.3993  1 Mo 1.76
O 0.5668 0.4117 0.2136  1 Mo 1.73
O 0.9222 0.5275 0.4340  1 Mo 1.85
O 0.4970 0.7316 0.3298  1 Mo 1.74
O 0.5503 0.5275 0.0660  1 Mo 1.85
O 0.0996 0.3044 0.1299  1 Mo 1.78
O 0.9975 0.3388 0.9589  1 Mo 1.84
O 0.7543 0.9626 0.4636  1 Mo 1.82
O 0.2457 0.0374 0.5364  1 Mo 1.82
O 0.4332 0.5883 0.7864  1 Mo 1.73
O 0.0778 0.4725 0.5660  1 Mo 1.85
O 0.5960 0.3044 0.3701  1 Mo 1.78
O 0.0025 0.6612 0.0411  1 Mo 1.84
O 0.7169 0.0374 0.9636  1 Mo 1.82
O 0.3363 0.6612 0.4589  1 Mo 1.84
O 0.8261 0.8977 0.6007  1 Mo 1.76
O 0.9730 0.8204 0.3298  1 Mo 1.74
O 0.0214 0.4117 0.2864  1 Mo 1.73
O 0.7934 0.1796 0.8298  1 Mo 1.74
O 0.0270 0.1796 0.6702  1 Mo 1.74
O 0.2762 0.8977 0.8993  1 Mo 1.76
O 0.9004 0.6956 0.8701  1 Mo 1.78
Tm 0.6451 0.7062 0.9687  8 O 2.22-2.43
Tm 0.3513 0.2938 0.4687  8 O 2.22-2.43
Tm 0.3549 0.2938 0.0313  8 O 2.22-2.43
Tm 0.6487 0.7062 0.5313  8 O 2.22-2.43
Li 0.1850 0.6300 0.2500  4 O 2.00-2.03
Li 0.8150 0.3700 0.7500  4 O 2.00-2.03
Mo 0.7649 0.4910 0.3542  4 O 1.73-1.85
Mo 0.9206 0.1240 0.5917  4 O 1.74-1.84
Mo 0.2559 0.5090 0.8542  4 O 1.73-1.85
Mo 0.0794 0.8760 0.4083  4 O 1.74-1.84
Mo 0.0446 0.8760 0.0917  4 O 1.74-1.84
Mo 0.7441 0.4910 0.1458  4 O 1.73-1.85
Mo 0.9554 0.1240 0.9083  4 O 1.74-1.84
Mo 0.2351 0.5090 0.6458  4 O 1.73-1.85
K 0.5326 0.9347 0.7500  4 O 2.62-2.64
K 0.4674 0.0653 0.2500  4 O 2.62-2.64

***

Record 9
The following is a DFT calculation (meta-GGA SCAN) of a PBEsol-optimized structure of KLiSnMo2.

Properties
Calculated formation energy: 1412 meV per atom
SG: P4/mmm, No. 123
Raw total energy: -21.870 eV per atom
M_tot: 6.12 Bohr magnetons per cell

abc: 4.6707 4.6242 4.6242
angles: 90.00 90.00 90.00
Last column: nearest neighbours and their distance in Å.
Positions (direct):
Li 0.0000 0.0000 0.0000  4 Mo 2.31, 2 Sn 2.34
Mo 0.0000 0.5000 0.0000  2 Li 2.31
Mo 0.0000 0.0000 0.5000  2 Li 2.31
Sn 0.5000 0.0000 0.0000  2 Li 2.34
K 0.5000 0.5000 0.5000  4 Sn 3.27, 8 Mo 3.29

***

Record 10
The following is a DFT calculation (meta-GGA SCAN) of a PBEsol-optimized structure of KLiY2Mo.

Properties
Calculated formation energy: 810 meV per atom
SG: P4/mmm, No. 123
Raw total energy: -19.448 eV per atom
M_tot: 0.76 Bohr magnetons per cell

abc: 5.2201 5.2201 6.3460
angles: 90.00 90.00 90.00
Last column: nearest neighbours and their distance in Å.
Positions (direct):
Mo 0.0000 0.0000 0.0000  4 Y 2.61
Y 0.5000 0.0000 0.0000  2 Mo 2.61
Y 0.0000 0.5000 0.0000  2 Mo 2.61
Li 0.5000 0.5000 0.5000  4 K 3.69, 8 Y 4.11
K 0.0000 0.0000 0.5000  2 Mo 3.17

***

Record 11
The following is a DFT calculation (meta-GGA SCAN) of a PBEsol-optimized structure of KLiN3.

Properties
Raw formation energy: 2.25 eV/atom
SG: Pm-3m, No. 221
Raw total energy: -5.471 eV per atom
M_tot: 7.00 Bohr magnetons per cell

abc: 4.9691 4.9691 4.9691
angles: 90.00 90.00 90.00
Last column: nearest neighbours and their distance in Å.
Positions (direct):
N 0.5000 0.0000 0.0000  2 K 2.48
N 0.0000 0.0000 0.5000  2 K 2.48
N 0.0000 0.5000 0.0000  2 K 2.48
Li 0.5000 0.5000 0.5000  12 N 3.51
K 0.0000 0.0000 0.0000  6 N 2.48

***

Record 12
The following is a DFT calculation (meta-GGA SCAN) of a PBEsol-optimized structure of KLi3N.

Properties
Raw formation energy: 0.01 eV/atom
SG: Pm-3m, No. 221
Raw total energy: -4.948 eV per atom
M_tot: 0.00 Bohr magnetons per cell

abc: 4.2756 4.2756 4.2756
angles: 90.00 90.00 90.00
Last column: nearest neighbours and their distance in Å.
Positions (direct):
Li 0.0000 0.0000 0.5000  2 N 2.14
Li 0.0000 0.5000 0.0000  2 N 2.14
Li 0.5000 0.0000 0.0000  2 N 2.14
K 0.5000 0.5000 0.5000  12 Li 3.02
N 0.0000 0.0000 0.0000  6 Li 2.14

***

> Which of these has the highest M_tot?

number 5

***

> Look up the M_tot of the fifth one.

9.14 Bohr magnetons per cell

***

Repeat the twelfth record exactly.
The following is a DFT calculation (meta-GGA SCAN) of a PBEsol-optimized structure of KLi3N.

Properties
Raw formation energy: 0.01 eV/atom
SG: Pm-3m, No. 221
Raw total energy: -4.948 eV per atom
M_tot: 0.00 Bohr magnetons per cell

abc: 4.2756 4.2756 4.2756
angles: 90.00 90.00 90.00
Last column: nearest neighbours and their distance in Å.
Positions (direct):
Li 0.0000 0.0000 0.5000  2 N 2.14
Li 0.0000 0.5000 0.0000  2 N 2.14
Li 0.5000 0.0000 0.0000  2 N 2.14
K 0.5000 0.5000 0.5000  12 Li 3.02
N 0.0000 0.0000 0.0000  6 Li 2.14

***

> The highest raw total energy belongs to which entry?

KLi3N